Version A
Below is TaZnCuAu after structural relaxation, with properties calculated at the PBE level.

* space-group type: F-43m

The structure in POSCAR format:
```
TaZnCuAu
1.0
0.0000 3.1496 3.1496
3.1496 0.0000 3.1496
3.1496 3.1496 0.0000
Ta Zn Cu Au
1 1 1 1
direct
0.0000 0.0000 0.0000
0.2500 0.2500 0.2500
0.5000 0.5000 0.5000
0.7500 0.7500 0.7500
```

Version B
Below is TaZnCuAu after structural relaxation, with properties calculated at the PBE level.

* space-group type: F-43m

The structure in POSCAR format:
```
TaZnCuAu
1.0
0.0000 3.1527 3.1527
3.1527 0.0000 3.1527
3.1527 3.1527 0.0000
Ta Zn Cu Au
1 1 1 1
direct
0.0000 0.0000 0.0000
0.5000 0.5000 0.5000
0.7500 0.7500 0.7500
0.2500 0.2500 0.2500
```

What should be chosen as the most stable of them? Choose version B.

Version A
Below is ZrTlCuAu after structural relaxation, with properties calculated at the PBE level.

* space-group type: F-43m

The structure in POSCAR format:
```
ZrTlCuAu
1.0
0.0000 3.3624 3.3624
3.3624 0.0000 3.3624
3.3624 3.3624 0.0000
Zr Tl Cu Au
1 1 1 1
direct
0.0000 0.0000 0.0000
0.2500 0.2500 0.2500
0.5000 0.5000 0.5000
0.7500 0.7500 0.7500
```

Version B
Below is ZrTlCuAu after structural relaxation, with properties calculated at the PBE level.

* space-group type: F-43m

The structure in POSCAR format:
```
ZrTlCuAu
1.0
0.0000 3.3611 3.3611
3.3611 0.0000 3.3611
3.3611 3.3611 0.0000
Zr Tl Cu Au
1 1 1 1
direct
0.0000 0.0000 0.0000
0.5000 0.5000 0.5000
0.7500 0.7500 0.7500
0.2500 0.2500 0.2500
```

What should be chosen as the most stable of them? Choose version B.

Version A
Below is Y2CuAu2 after structural relaxation, with properties calculated at the PBE level.

* space-group type: I4/mmm

The structure in POSCAR format:
```
Y2CuAu2
1.0
-1.9323 1.9323 7.7761
1.9323 -1.9323 7.7761
1.9323 1.9323 -7.7761
Y Cu Au
2 1 2
direct
0.1013 0.1013 0.0000
0.8987 0.8987 0.0000
0.5000 0.5000 0.0000
0.2500 0.7500 0.5000
0.7500 0.2500 0.5000
```

Version B
Below is Y2CuAu2 after structural relaxation, with properties calculated at the PBE level.

* space-group type: I4/mmm

The structure in POSCAR format:
```
Y2CuAu2
1.0
-2.8113 2.8113 3.8856
2.8113 -2.8113 3.8856
2.8113 2.8113 -3.8856
Y Cu Au
2 1 2
direct
0.2500 0.7500 0.5000
0.7500 0.2500 0.5000
0.0000 0.0000 0.0000
0.3332 0.3332 0.0000
0.6668 0.6668 0.0000
```

What should be chosen as the most stable of them? Choose version B.

Version A
Below is DyErAu after structural relaxation, with properties calculated at the PBE level.

* space-group type: Pnma

The structure in POSCAR format:
```
DyErAu
1.0
7.0791 0.0000 0.0000
0.0000 4.9248 0.0000
0.0000 0.0000 8.8630
Dy Er Au
4 4 4
direct
0.0135 0.2500 0.1767
0.4865 0.7500 0.6767
0.5135 0.2500 0.3233
0.9865 0.7500 0.8233
0.1487 0.2500 0.5804
0.3513 0.7500 0.0804
0.6487 0.2500 0.9196
0.8513 0.7500 0.4196
0.2442 0.2500 0.9012
0.2558 0.7500 0.4012
0.7442 0.2500 0.5988
0.7558 0.7500 0.0988
```

Version B
Below is DyErAu after structural relaxation, with properties calculated at the PBE level.

* space-group type: F-43m

The structure in POSCAR format:
```
DyErAu
1.0
0.0000 3.4748 3.4748
3.4748 0.0000 3.4748
3.4748 3.4748 0.0000
Dy Er Au
1 1 1
direct
0.0000 0.0000 0.0000
0.5000 0.5000 0.5000
0.2500 0.2500 0.2500
```

What should be chosen as the most stable of them? Choose version A.

Version A
Below is DyErAu2 after structural relaxation, with properties calculated at the PBE level.

* space-group type: Pmc2_1

The structure in POSCAR format:
```
DyErAu2
1.0
4.6906 0.0000 0.0000
0.0000 5.5947 0.0000
0.0000 0.0000 7.1209
Dy Er Au
2 2 4
direct
0.0000 0.0955 0.0000
0.0000 0.9045 0.5000
0.5000 0.4035 0.6240
0.5000 0.5965 0.1240
0.0000 0.4123 0.3532
0.0000 0.5877 0.8532
0.5000 0.0908 0.2709
0.5000 0.9092 0.7709
```

Version B
Below is DyErAu2 after structural relaxation, with properties calculated at the PBE level.

* space-group type: Amm2

The structure in POSCAR format:
```
DyErAu2
1.0
4.6388 0.0000 0.0000
0.0000 1.8505 5.4548
0.0000 -1.8505 5.4548
Dy Er Au
1 1 2
direct
0.0000 0.0000 0.0000
0.5000 0.2794 0.2794
0.0000 0.7288 0.7288
0.5000 0.5507 0.5507
```

What should be chosen as the most stable of them? Choose version B.

Version A
Below is GdDyAu after structural relaxation, with properties calculated at the PBE level.

* space-group type: F-43m

The structure in POSCAR format:
```
GdDyAu
1.0
0.0000 3.4370 3.4370
3.4370 0.0000 3.4370
3.4370 3.4370 0.0000
Gd Dy Au
1 1 1
direct
0.0000 0.0000 0.0000
0.7500 0.7500 0.7500
0.5000 0.5000 0.5000
```

Version B
Below is GdDyAu after structural relaxation, with properties calculated at the PBE level.

* space-group type: P6_3mc

The structure in POSCAR format:
```
GdDyAu
1.0
5.0738 0.0000 0.0000
-2.5369 4.3940 0.0000
0.0000 0.0000 6.8942
Gd Dy Au
2 2 2
direct
0.3333 0.6667 0.0000
0.6667 0.3333 0.5000
0.0000 0.0000 0.2496
0.0000 0.0000 0.7496
0.3333 0.6667 0.4916
0.6667 0.3333 0.9916
```

What should be chosen as the most stable of them? Choose version B.

Version A
Below is LaDy2Zn2Si4Au2 after structural relaxation, with properties calculated at the PBE level.

* space-group type: Immm

The structure in POSCAR format:
```
LaDy2Zn2Si4Au2
1.0
-2.1048 2.1073 12.3339
2.1048 -2.1073 12.3339
2.1048 2.1073 -12.3339
La Dy Zn Si Au
1 2 2 4 2
direct
0.0000 0.0000 0.0000
0.1461 0.6461 0.5000
0.8539 0.3539 0.5000
0.4045 0.9045 0.5000
0.5955 0.0955 0.5000
0.3102 0.8102 0.5000
0.4513 0.4513 0.0000
0.5487 0.5487 0.0000
0.6898 0.1898 0.5000
0.2518 0.2518 0.0000
0.7482 0.7482 0.0000
```

Version B
Below is LaDy2Zn2Si4Au2 after structural relaxation, with properties calculated at the PBE level.

* space-group type: Immm

The structure in POSCAR format:
```
LaDy2Zn2Si4Au2
1.0
-2.0608 2.1169 12.6153
2.0608 -2.1169 12.6153
2.0608 2.1169 -12.6153
La Dy Zn Si Au
1 2 2 4 2
direct
0.0000 0.0000 0.0000
0.3535 0.8535 0.5000
0.6465 0.1465 0.5000
0.2508 0.2508 0.0000
0.7492 0.7492 0.0000
0.1929 0.6929 0.5000
0.4521 0.4521 0.0000
0.5479 0.5479 0.0000
0.8071 0.3071 0.5000
0.0977 0.5977 0.5000
0.9023 0.4023 0.5000
```

What should be chosen as the most stable of them? Choose version B.

Version A
Below is NdDyAu after structural relaxation, with properties calculated at the PBE level.

* space-group type: F-43m

The structure in POSCAR format:
```
NdDyAu
1.0
0.0000 3.4743 3.4743
3.4743 0.0000 3.4743
3.4743 3.4743 0.0000
Nd Dy Au
1 1 1
direct
0.0000 0.0000 0.0000
0.7500 0.7500 0.7500
0.5000 0.5000 0.5000
```

Version B
Below is NdDyAu after structural relaxation, with properties calculated at the PBE level.

* space-group type: Pnma

The structure in POSCAR format:
```
NdDyAu
1.0
7.2796 0.0000 0.0000
0.0000 5.0167 0.0000
0.0000 0.0000 9.0221
Nd Dy Au
4 4 4
direct
0.0113 0.2500 0.1772
0.4887 0.7500 0.6772
0.5113 0.2500 0.3228
0.9887 0.7500 0.8228
0.1492 0.2500 0.5819
0.3508 0.7500 0.0819
0.6492 0.2500 0.9181
0.8508 0.7500 0.4181
0.2473 0.7500 0.4022
0.2527 0.2500 0.9022
0.7473 0.7500 0.0978
0.7527 0.2500 0.5978
```

What should be chosen as the most stable of them? Choose version B.

Version A
Below is Dy2Au2O5 after structural relaxation, with properties calculated at the PBE level.

* space-group type: P4/mmm

The structure in POSCAR format:
```
Dy2Au2O5
1.0
3.9394 0.0000 0.0000
0.0000 3.9394 0.0000
0.0000 0.0000 8.8992
Dy Au O
2 2 5
direct
0.0000 0.0000 0.2467
0.0000 0.0000 0.7533
0.5000 0.5000 0.0000
0.5000 0.5000 0.5000
0.0000 0.0000 0.0000
0.0000 0.5000 0.3528
0.0000 0.5000 0.6472
0.5000 0.0000 0.3528
0.5000 0.0000 0.6472
```

Version B
Below is Dy2Au2O5 after structural relaxation, with properties calculated at the PBE level.

* space-group type: P4/mmm

The structure in POSCAR format:
```
Dy2Au2O5
1.0
4.1697 0.0000 0.0000
0.0000 4.1697 0.0000
0.0000 0.0000 6.9611
Dy Au O
2 2 5
direct
0.0000 0.0000 0.0000
0.0000 0.0000 0.5000
0.5000 0.5000 0.1909
0.5000 0.5000 0.8091
0.0000 0.5000 0.2255
0.0000 0.5000 0.7745
0.5000 0.0000 0.2255
0.5000 0.0000 0.7745
0.5000 0.5000 0.5000
```

What should be chosen as the most stable of them? Choose version A.

Version A
Below is DyTe3PbAu after structural relaxation, with properties calculated at the PBE level.

* space-group type: Pnma

The structure in POSCAR format:
```
DyTe3PbAu
1.0
12.6019 0.0000 0.0000
0.0000 4.4665 0.0000
0.0000 0.0000 12.6714
Dy Te Pb Au
4 12 4 4
direct
0.0357 0.2500 0.1928
0.4643 0.7500 0.6928
0.5357 0.2500 0.3072
0.9643 0.7500 0.8072
0.0235 0.7500 0.3655
0.0909 0.2500 0.9353
0.2137 0.7500 0.6748
0.2863 0.2500 0.1748
0.4091 0.7500 0.4353
0.4765 0.2500 0.8655
0.5235 0.7500 0.1345
0.5909 0.2500 0.5647
0.7137 0.7500 0.8252
0.7863 0.2500 0.3252
0.9091 0.7500 0.0647
0.9765 0.2500 0.6345
0.2035 0.2500 0.4692
0.2965 0.7500 0.9692
0.7035 0.2500 0.0308
0.7965 0.7500 0.5308
0.2282 0.7500 0.2948
0.2718 0.2500 0.7948
0.7282 0.7500 0.2052
0.7718 0.2500 0.7052
```

Version B
Below is DyTe3PbAu after structural relaxation, with properties calculated at the PBE level.

* space-group type: Pnma

The structure in POSCAR format:
```
DyTe3PbAu
1.0
11.2459 0.0000 0.0000
0.0000 4.3137 0.0000
0.0000 0.0000 14.7556
Dy Te Pb Au
4 12 4 4
direct
0.0144 0.2500 0.2473
0.4856 0.7500 0.7473
0.5144 0.2500 0.2527
0.9856 0.7500 0.7527
0.0402 0.2500 0.6067
0.0622 0.7500 0.1000
0.2372 0.7500 0.8423
0.2628 0.2500 0.3423
0.4378 0.2500 0.6000
0.4598 0.7500 0.1067
0.5402 0.2500 0.8933
0.5622 0.7500 0.4000
0.7372 0.7500 0.6577
0.7628 0.2500 0.1577
0.9378 0.2500 0.9000
0.9598 0.7500 0.3933
0.2348 0.7500 0.5269
0.2652 0.2500 0.0269
0.7348 0.7500 0.9731
0.7652 0.2500 0.4731
0.2458 0.2500 0.7177
0.2542 0.7500 0.2177
0.7458 0.2500 0.7823
0.7542 0.7500 0.2823
```

Version C
Below is DyTe3PbAu after structural relaxation, with properties calculated at the PBE level.

* space-group type: Pnma

The structure in POSCAR format:
```
DyTe3PbAu
1.0
13.1383 0.0000 0.0000
0.0000 4.4704 0.0000
0.0000 0.0000 12.1653
Dy Te Pb Au
4 12 4 4
direct
0.0203 0.2500 0.1897
0.4797 0.7500 0.6897
0.5203 0.2500 0.3103
0.9797 0.7500 0.8103
0.0333 0.7500 0.3667
0.1006 0.2500 0.9469
0.1943 0.7500 0.6775
0.3057 0.2500 0.1775
0.3994 0.7500 0.4469
0.4667 0.2500 0.8667
0.5333 0.7500 0.1333
0.6006 0.2500 0.5531
0.6943 0.7500 0.8225
0.8057 0.2500 0.3225
0.8994 0.7500 0.0531
0.9667 0.2500 0.6333
0.2215 0.2500 0.4498
0.2785 0.7500 0.9498
0.7215 0.2500 0.0502
0.7785 0.7500 0.5502
0.1960 0.7500 0.2293
0.3040 0.2500 0.7293
0.6960 0.7500 0.2707
0.8040 0.2500 0.7707
```

What should be chosen as the most stable of them? Choose version B.